{"formula": "HoRuN2", "functional": "PBE", "state": "optimized geometry", "dos_at_fermi_per_ev_cell": 3.29, "total_magnetization_mub_per_cell": 0.00, "raw_formation_energy_ev_per_atom": -0.624, "lattice": [[1.672, 0.965, 4.787], [-1.672, 0.965, 4.787], [0.000, -1.930, 4.787]], "species": ["Ho", "Ru", "N", "N"], "fractional_positions": [[0.000, 0.000, 0.000], [0.500, 0.500, 0.500], [0.237, 0.237, 0.237], [0.763, 0.763, 0.763]]}